Y2Al2Ni | PBE | optimized geometry

Properties
DFT formation energy = -0.442 eV per atom
Energy = -56.8 eV/cell
Total moment = 0.0 Bohr magnetons per cell
Crystal system = orthorhombic
E above lowest polymorph = 0.0000 eV/atom
DOS at the Fermi energy = 4.425 states/eV/f.u.

a = 4.1953 Å, b = 5.3850 Å, c = 9.3532 Å
α = 90.00°, β = 90.00°, γ = 90.00°
Space group Immm (No. 71)
Asymmetric unit:
Y (0.0000, 0.0000, 0.1989) x4
Al (0.0000, 0.2457, 0.5000) x4
Ni (0.0000, 0.5000, 0.0000) x2